This record from the Alexandria database describes a geometry-optimized Mg5Si9 structure. The functional is PBE-GGA.

Values from the calculation:
Raw formation energy, eV per atom: 0.1343
Offset from the most stable computed form, meV/atom: 36
DFT total energy, eV per atom: -3.92
Space-group type: No. 1

Lattice parameters (Å, degrees): 6.764 6.954 13.538 75.34 76.28 65.91
Atoms (fractional coordinates):
Mg: 0.000 0.000 0.000
Mg: 0.010 0.692 0.668
Mg: 0.156 0.406 0.469
Mg: 0.187 0.123 0.148
Mg: 0.428 0.530 0.076
Mg: 0.593 0.091 0.232
Mg: 0.624 0.511 0.708
Mg: 0.692 0.825 0.897
Mg: 0.747 0.674 0.136
Mg: 0.821 0.137 0.536
Si: 0.023 0.793 0.195
Si: 0.023 0.968 0.790
Si: 0.159 0.424 0.257
Si: 0.203 0.036 0.610
Si: 0.321 0.290 0.756
Si: 0.334 0.386 0.911
Si: 0.336 0.743 0.879
Si: 0.369 0.829 0.342
Si: 0.437 0.425 0.579
Si: 0.452 0.771 0.512
Si: 0.488 0.939 0.717
Si: 0.493 0.493 0.287
Si: 0.568 0.118 0.026
Si: 0.816 0.764 0.503
Si: 0.854 0.311 0.332
Si: 0.945 0.336 0.817
Si: 0.961 0.409 0.982
Si: 0.982 0.930 0.348

=====

This record from the Alexandria database describes a geometry-optimized MgSi2 structure. The functional is PBE-GGA.

Values from the calculation:
Raw formation energy, eV per atom: 0.1017
Offset from the most stable computed form, meV/atom: 78
DFT total energy, eV per atom: -4.05
Space-group type: No. 2

Lattice parameters (Å, degrees): 6.545 6.863 10.735 85.59 89.54 79.95
Atoms (fractional coordinates):
Mg: 0.088 0.151 0.238
Mg: 0.242 0.666 0.237
Mg: 0.278 0.902 0.487
Mg: 0.290 0.484 0.647
Mg: 0.710 0.516 0.353
Mg: 0.722 0.098 0.513
Mg: 0.758 0.334 0.763
Mg: 0.912 0.849 0.762
Si: 0.040 0.825 0.028
Si: 0.059 0.320 0.480
Si: 0.118 0.132 0.673
Si: 0.229 0.620 0.881
Si: 0.281 0.287 0.967
Si: 0.385 0.315 0.374
Si: 0.438 0.118 0.792
Si: 0.476 0.231 0.158
Si: 0.524 0.769 0.842
Si: 0.562 0.882 0.208
Si: 0.615 0.685 0.626
Si: 0.719 0.713 0.033
Si: 0.771 0.380 0.119
Si: 0.882 0.868 0.327
Si: 0.941 0.680 0.520
Si: 0.960 0.175 0.972

=====

This record from the Alexandria database describes a geometry-optimized MgSi2 structure. The functional is PBE-GGA.

Values from the calculation:
Raw formation energy, eV per atom: 0.1119
Offset from the most stable computed form, meV/atom: 88
DFT total energy, eV per atom: -4.03
Space-group type: No. 1

Lattice parameters (Å, degrees): 6.198 6.869 10.328 90.73 91.66 90.95
Atoms (fractional coordinates):
Mg: 0.000 0.000 0.000
Mg: 0.047 0.562 0.226
Mg: 0.260 0.354 0.478
Mg: 0.426 0.432 0.767
Mg: 0.502 0.086 0.985
Mg: 0.585 0.640 0.278
Mg: 0.749 0.241 0.498
Mg: 0.943 0.553 0.732
Si: 0.077 0.950 0.502
Si: 0.115 0.130 0.706
Si: 0.224 0.382 0.004
Si: 0.241 0.830 0.807
Si: 0.264 0.929 0.226
Si: 0.337 0.718 0.037
Si: 0.358 0.272 0.217
Si: 0.449 0.949 0.443
Si: 0.572 0.649 0.549
Si: 0.614 0.838 0.757
Si: 0.709 0.710 0.979
Si: 0.745 0.264 0.195
Si: 0.755 0.178 0.774
Si: 0.838 0.380 0.980
Si: 0.878 0.953 0.283
Si: 0.938 0.622 0.476

=====

This record from the Alexandria database describes a geometry-optimized MgSi2 structure. The functional is PBE-GGA.

Values from the calculation:
Raw formation energy, eV per atom: 0.1413
Offset from the most stable computed form, meV/atom: 118
DFT total energy, eV per atom: -4.01
Space-group type: No. 2

Lattice parameters (Å, degrees): 7.107 7.200 9.293 89.09 74.67 78.87
Atoms (fractional coordinates):
Mg: 0.088 0.202 0.298
Mg: 0.315 0.891 0.488
Mg: 0.322 0.482 0.650
Mg: 0.360 0.576 0.146
Mg: 0.640 0.424 0.854
Mg: 0.678 0.518 0.350
Mg: 0.685 0.109 0.512
Mg: 0.912 0.798 0.702
Si: 0.017 0.148 0.695
Si: 0.068 0.619 0.914
Si: 0.120 0.878 0.038
Si: 0.132 0.580 0.434
Si: 0.284 0.315 0.967
Si: 0.352 0.121 0.744
Si: 0.411 0.292 0.348
Si: 0.466 0.883 0.911
Si: 0.534 0.117 0.089
Si: 0.589 0.708 0.652
Si: 0.648 0.879 0.256
Si: 0.716 0.685 0.033
Si: 0.868 0.420 0.566
Si: 0.880 0.122 0.962
Si: 0.932 0.381 0.086
Si: 0.983 0.852 0.305